# Pr6Y3Er (PBE, optimized geometry)
# - ΔH_f (0 K) (eV/atom) = 0.13
# - electronic total energy (eV for the cell shown) = -102.614
# - magnetic moment (μB/f.u.) = 0.00
data_Pr6Y3Er
_chemical_formula_sum 'Pr12 Y6 Er2'
_space_group_name_H-M_alt 'P 1'
_space_group_IT_number 1
_cell_length_a 6.359
_cell_length_b 11.283
_cell_length_c 11.283
_cell_angle_alpha 120.61
_cell_angle_beta 90.00
_cell_angle_gamma 90.00
loop_
_space_group_symop_operation_xyz
'x,y,z'
loop_
_atom_site_label
_atom_site_type_symbol
_atom_site_fract_x
_atom_site_fract_y
_atom_site_fract_z
Pr1 Pr 0.042 0.711 0.626
Pr2 Pr 0.542 0.626 0.711
Pr3 Pr 0.361 0.522 0.943
Pr4 Pr 0.861 0.943 0.522
Pr5 Pr 0.408 0.961 0.039
Pr6 Pr 0.647 0.280 0.720
Pr7 Pr 0.147 0.720 0.280
Pr8 Pr 0.908 0.039 0.961
Pr9 Pr 0.361 0.057 0.478
Pr10 Pr 0.861 0.478 0.057
Pr11 Pr 0.042 0.374 0.289
Pr12 Pr 0.542 0.289 0.374
Y1 Y 0.466 0.945 0.719
Y2 Y 0.966 0.719 0.945
Y3 Y 0.077 0.386 0.614
Y4 Y 0.577 0.614 0.386
Y5 Y 0.966 0.055 0.281
Y6 Y 0.466 0.281 0.055
Er1 Er 0.116 0.199 0.801
Er2 Er 0.616 0.801 0.199


# Pr2Y5Er6 (PBE, optimized geometry)
# - ΔH_f (0 K) (eV/atom) = 0.10
# - electronic total energy (eV for the cell shown) = -135.821
# - magnetic moment (μB/f.u.) = 0.00
data_Pr2Y5Er6
_chemical_formula_sum 'Pr4 Y10 Er12'
_space_group_name_H-M_alt 'P 1'
_space_group_IT_number 1
_cell_length_a 3.587
_cell_length_b 11.681
_cell_length_c 20.274
_cell_angle_alpha 90.00
_cell_angle_beta 90.00
_cell_angle_gamma 90.00
loop_
_space_group_symop_operation_xyz
'x,y,z'
loop_
_atom_site_label
_atom_site_type_symbol
_atom_site_fract_x
_atom_site_fract_y
_atom_site_fract_z
Pr1 Pr 0.000 0.331 0.282
Pr2 Pr 0.000 0.669 0.718
Pr3 Pr 0.000 0.831 0.218
Pr4 Pr 0.000 0.169 0.782
Y1 Y 0.500 0.301 0.447
Y2 Y 0.500 0.699 0.553
Y3 Y 0.500 0.801 0.053
Y4 Y 0.500 0.199 0.947
Y5 Y 0.500 0.591 0.280
Y6 Y 0.500 0.409 0.720
Y7 Y 0.500 0.091 0.220
Y8 Y 0.500 0.909 0.780
Y9 Y 0.500 0.500 0.000
Y10 Y 0.500 0.000 0.500
Er1 Er 0.000 0.077 0.364
Er2 Er 0.000 0.923 0.636
Er3 Er 0.000 0.577 0.136
Er4 Er 0.000 0.423 0.864
Er5 Er 0.500 0.321 0.126
Er6 Er 0.500 0.679 0.874
Er7 Er 0.500 0.821 0.374
Er8 Er 0.500 0.179 0.626
Er9 Er 0.000 0.562 0.424
Er10 Er 0.000 0.438 0.576
Er11 Er 0.000 0.062 0.076
Er12 Er 0.000 0.938 0.924


# Pr3Y2Er5 (PBE, optimized geometry)
# - ΔH_f (0 K) (eV/atom) = 0.19
# - electronic total energy (eV for the cell shown) = -96.308
# - magnetic moment (μB/f.u.) = 0.00
data_Pr3Y2Er5
_chemical_formula_sum 'Pr6 Y4 Er10'
_space_group_name_H-M_alt 'P 1'
_space_group_IT_number 1
_cell_length_a 9.479
_cell_length_b 9.460
_cell_length_c 9.605
_cell_angle_alpha 108.32
_cell_angle_beta 108.40
_cell_angle_gamma 111.17
loop_
_space_group_symop_operation_xyz
'x,y,z'
loop_
_atom_site_label
_atom_site_type_symbol
_atom_site_fract_x
_atom_site_fract_y
_atom_site_fract_z
Pr1 Pr 0.266 0.016 0.033
Pr2 Pr 0.734 0.984 0.967
Pr3 Pr 0.522 0.476 0.252
Pr4 Pr 0.478 0.524 0.748
Pr5 Pr 0.230 0.776 0.252
Pr6 Pr 0.770 0.224 0.748
Y1 Y 0.967 0.014 0.734
Y2 Y 0.033 0.986 0.266
Y3 Y 0.267 0.720 0.734
Y4 Y 0.733 0.280 0.266
Er1 Er 0.229 0.479 0.958
Er2 Er 0.771 0.521 0.042
Er3 Er 0.971 0.721 0.442
Er4 Er 0.474 0.224 0.449
Er5 Er 0.029 0.279 0.558
Er6 Er 0.526 0.776 0.551
Er7 Er 0.870 0.605 0.725
Er8 Er 0.130 0.395 0.275
Er9 Er 0.355 0.120 0.725
Er10 Er 0.645 0.880 0.275


# Pr2Y2Er3 (PBE, optimized geometry)
# - ΔH_f (0 K) (eV/atom) = 0.20
# - electronic total energy (eV for the cell shown) = -69.493
# - magnetic moment (μB/f.u.) = 0.00
data_Pr2Y2Er3
_chemical_formula_sum 'Pr4 Y4 Er6'
_space_group_name_H-M_alt 'P 1'
_space_group_IT_number 1
_cell_length_a 6.512
_cell_length_b 11.234
_cell_length_c 6.430
_cell_angle_alpha 90.00
_cell_angle_beta 84.91
_cell_angle_gamma 90.00
loop_
_space_group_symop_operation_xyz
'x,y,z'
loop_
_atom_site_label
_atom_site_type_symbol
_atom_site_fract_x
_atom_site_fract_y
_atom_site_fract_z
Pr1 Pr 0.537 0.351 0.546
Pr2 Pr 0.963 0.851 0.454
Pr3 Pr 0.037 0.149 0.546
Pr4 Pr 0.463 0.649 0.454
Y1 Y 0.769 0.729 0.889
Y2 Y 0.269 0.771 0.889
Y3 Y 0.731 0.229 0.111
Y4 Y 0.231 0.271 0.111
Er1 Er 0.500 0.500 0.000
Er2 Er 0.000 0.000 0.000
Er3 Er 0.539 0.041 0.747
Er4 Er 0.961 0.541 0.253
Er5 Er 0.039 0.459 0.747
Er6 Er 0.461 0.959 0.253


# Pr2Y5Er12 (PBE, optimized geometry)
# - ΔH_f (0 K) (eV/atom) = 0.03
# - electronic total energy (eV for the cell shown) = -96.152
# - magnetic moment (μB/f.u.) = 0.00
data_Pr2Y5Er12
_chemical_formula_sum 'Pr2 Y5 Er12'
_space_group_name_H-M_alt 'P 1'
_space_group_IT_number 1
_cell_length_a 6.141
_cell_length_b 10.634
_cell_length_c 12.777
_cell_angle_alpha 133.81
_cell_angle_beta 94.67
_cell_angle_gamma 84.47
loop_
_space_group_symop_operation_xyz
'x,y,z'
loop_
_atom_site_label
_atom_site_type_symbol
_atom_site_fract_x
_atom_site_fract_y
_atom_site_fract_z
Pr1 Pr 0.581 0.843 0.816
Pr2 Pr 0.419 0.157 0.184
Y1 Y 0.262 0.472 0.553
Y2 Y 0.159 0.683 0.131
Y3 Y 0.000 0.000 0.500
Y4 Y 0.841 0.317 0.869
Y5 Y 0.738 0.528 0.447
Er1 Er 0.946 0.104 0.290
Er2 Er 0.104 0.787 0.920
Er3 Er 0.632 0.735 0.026
Er4 Er 0.210 0.580 0.342
Er5 Er 0.683 0.633 0.237
Er6 Er 0.525 0.948 0.604
Er7 Er 0.475 0.052 0.396
Er8 Er 0.790 0.420 0.658
Er9 Er 0.317 0.367 0.763
Er10 Er 0.896 0.213 0.080
Er11 Er 0.368 0.265 0.974
Er12 Er 0.054 0.896 0.710


# PrYEr2 (PBE, optimized geometry)
# - ΔH_f (0 K) (eV/atom) = 0.12
# - electronic total energy (eV for the cell shown) = -19.901
# - magnetic moment (μB/f.u.) = 0.00
data_PrYEr2
_chemical_formula_sum 'Pr1 Y1 Er2'
_space_group_name_H-M_alt 'P 1'
_space_group_IT_number 1
_cell_length_a 5.702
_cell_length_b 5.702
_cell_length_c 5.702
_cell_angle_alpha 60.00
_cell_angle_beta 60.00
_cell_angle_gamma 60.00
loop_
_space_group_symop_operation_xyz
'x,y,z'
loop_
_atom_site_label
_atom_site_type_symbol
_atom_site_fract_x
_atom_site_fract_y
_atom_site_fract_z
Pr1 Pr 0.000 0.000 0.000
Y1 Y 0.500 0.500 0.500
Er1 Er 0.250 0.250 0.250
Er2 Er 0.750 0.750 0.750


# Pr4YEr7 (PBE, optimized geometry)
# - ΔH_f (0 K) (eV/atom) = 0.27
# - electronic total energy (eV for the cell shown) = -54.319
# - magnetic moment (μB/f.u.) = 0.35
data_Pr4YEr7
_chemical_formula_sum 'Pr4 Y1 Er7'
_space_group_name_H-M_alt 'P 1'
_space_group_IT_number 1
_cell_length_a 5.914
_cell_length_b 11.701
_cell_length_c 6.755
_cell_angle_alpha 83.63
_cell_angle_beta 64.04
_cell_angle_gamma 75.36
loop_
_space_group_symop_operation_xyz
'x,y,z'
loop_
_atom_site_label
_atom_site_type_symbol
_atom_site_fract_x
_atom_site_fract_y
_atom_site_fract_z
Pr1 Pr 0.639 0.222 0.500
Pr2 Pr 0.361 0.778 0.500
Pr3 Pr 0.780 0.664 0.776
Pr4 Pr 0.220 0.336 0.224
Y1 Y 0.000 0.000 0.000
Er1 Er 0.787 0.923 0.502
Er2 Er 0.213 0.077 0.498
Er3 Er 0.069 0.689 0.172
Er4 Er 0.931 0.311 0.828
Er5 Er 0.368 0.494 0.770
Er6 Er 0.500 0.000 0.000
Er7 Er 0.632 0.506 0.230


# Pr5Y5Er2 (PBE, optimized geometry)
# - ΔH_f (0 K) (eV/atom) = 0.06
# - electronic total energy (eV for the cell shown) = -64.644
# - magnetic moment (μB/f.u.) = 0.00
data_Pr5Y5Er2
_chemical_formula_sum 'Pr5 Y5 Er2'
_space_group_name_H-M_alt 'P 1'
_space_group_IT_number 1
_cell_length_a 5.696
_cell_length_b 9.132
_cell_length_c 9.928
_cell_angle_alpha 122.92
_cell_angle_beta 90.00
_cell_angle_gamma 108.19
loop_
_space_group_symop_operation_xyz
'x,y,z'
loop_
_atom_site_label
_atom_site_type_symbol
_atom_site_fract_x
_atom_site_fract_y
_atom_site_fract_z
Pr1 Pr 0.500 0.000 0.500
Pr2 Pr 0.625 0.250 0.959
Pr3 Pr 0.625 0.250 0.287
Pr4 Pr 0.375 0.750 0.713
Pr5 Pr 0.375 0.750 0.041
Y1 Y 0.126 0.252 0.459
Y2 Y 0.749 0.498 0.750
Y3 Y 0.251 0.502 0.250
Y4 Y 0.874 0.748 0.541
Y5 Y 0.000 0.000 0.000
Er1 Er 0.127 0.254 0.795
Er2 Er 0.873 0.746 0.205


# Pr5Y5Er2 (PBE, optimized geometry)
# - ΔH_f (0 K) (eV/atom) = 0.02
# - electronic total energy (eV for the cell shown) = -65.122
# - magnetic moment (μB/f.u.) = 0.00
data_Pr5Y5Er2
_chemical_formula_sum 'Pr5 Y5 Er2'
_space_group_name_H-M_alt 'P 1'
_space_group_IT_number 1
_cell_length_a 5.120
_cell_length_b 10.848
_cell_length_c 8.106
_cell_angle_alpha 98.63
_cell_angle_beta 71.59
_cell_angle_gamma 76.35
loop_
_space_group_symop_operation_xyz
'x,y,z'
loop_
_atom_site_label
_atom_site_type_symbol
_atom_site_fract_x
_atom_site_fract_y
_atom_site_fract_z
Pr1 Pr 0.666 0.253 0.416
Pr2 Pr 0.997 0.253 0.753
Pr3 Pr 0.003 0.747 0.247
Pr4 Pr 0.334 0.747 0.584
Pr5 Pr 0.000 0.000 0.000
Y1 Y 0.000 0.500 0.500
Y2 Y 0.669 0.746 0.916
Y3 Y 0.333 0.000 0.334
Y4 Y 0.667 0.000 0.666
Y5 Y 0.331 0.254 0.084
Er1 Er 0.332 0.501 0.835
Er2 Er 0.668 0.499 0.165